(1)
! SCAN TlFe2Pb, single point on PBEsol structure; values from VASP
&SYSTEM
  ibrav = 0, nat = 4, ntyp = 3
/
ATOMIC_SPECIES
Fe 55.84 Fe.upf
Pb 207.20 Pb.upf
Tl 204.38 Tl.upf
ATOMIC_POSITIONS angstrom
Fe -0.120 -1.249 7.313
Fe -0.599 -3.195 5.946
Pb -0.072 -0.751 4.399
Tl -0.519 -2.359 1.055
CELL_PARAMETERS angstrom
-2.643 -1.622 -0.321
1.653 -2.610 -0.419
-0.128 -1.329 7.781
! Formation enthalpy at 0 K   0.33 eV/atom
! DOS(E_F)   2.5 states/eV/f.u.



(2)
! SCAN TlFePb2, single point on PBEsol structure; values from VASP
&SYSTEM
  ibrav = 0, nat = 4, ntyp = 3
/
ATOMIC_SPECIES
Fe 55.84 Fe.upf
Pb 207.20 Pb.upf
Tl 204.38 Tl.upf
ATOMIC_POSITIONS angstrom
Fe 1.625 0.153 0.255
Pb -0.305 -1.037 2.536
Pb -0.305 2.725 0.283
Tl 1.014 1.842 3.074
CELL_PARAMETERS angstrom
3.249 0.306 0.510
-0.610 5.451 0.566
-0.610 -2.073 5.073
! Formation enthalpy at 0 K   0.48 eV/atom
! Polymorph energy (0 for the lowest one)   0.131 eV per atom
! DOS(E_F)   2.0 states/eV/f.u.



(3)
! SCAN TlFePb2, single point on PBEsol structure; values from VASP
&SYSTEM
  ibrav = 0, nat = 4, ntyp = 3
/
ATOMIC_SPECIES
Fe 55.84 Fe.upf
Pb 207.20 Pb.upf
Tl 204.38 Tl.upf
ATOMIC_POSITIONS angstrom
Fe -2.833 -1.115 2.824
Pb -4.234 0.255 4.943
Pb -1.669 1.366 3.071
Tl -2.894 0.275 0.183
CELL_PARAMETERS angstrom
-1.494 2.759 -0.409
-3.773 -2.202 -1.072
0.769 -0.306 7.362
! Formation enthalpy at 0 K   0.35 eV/atom
! Polymorph energy (0 for the lowest one)   0.000 eV per atom
! DOS(E_F)   2.5 states/eV/f.u.



(4)
! SCAN Tl2FePb, single point on PBEsol structure; values from VASP
&SYSTEM
  ibrav = 0, nat = 4, ntyp = 3
/
ATOMIC_SPECIES
Fe 55.84 Fe.upf
Pb 207.20 Pb.upf
Tl 204.38 Tl.upf
ATOMIC_POSITIONS angstrom
Fe 0.000 0.000 6.737
Pb 1.537 0.000 4.339
Tl 0.000 0.000 0.020
Tl 0.000 2.291 2.416
CELL_PARAMETERS angstrom
3.073 0.000 0.000
0.000 4.583 0.000
-1.537 -2.291 6.756
! Formation enthalpy at 0 K   0.34 eV/atom
! Polymorph energy (0 for the lowest one)   0.000 eV per atom
! DOS(E_F)   2.0 states/eV/f.u.



(5)
! SCAN FePb2W, single point on PBEsol structure; values from VASP
&SYSTEM
  ibrav = 0, nat = 4, ntyp = 3
/
ATOMIC_SPECIES
Fe 55.84 Fe.upf
Pb 207.20 Pb.upf
W 183.84 W.upf
ATOMIC_POSITIONS angstrom
Fe 0.242 1.555 2.427
Pb -0.639 2.639 -0.008
Pb -0.639 -1.110 2.394
W 1.520 0.026 0.041
CELL_PARAMETERS angstrom
3.040 0.052 0.082
-1.278 5.278 -0.016
-1.278 -2.220 4.788
! Formation enthalpy at 0 K   1.08 eV/atom
! DOS(E_F)   2.8 states/eV/f.u.



(6)
! SCAN YFePb2, single point on PBEsol structure; values from VASP
&SYSTEM
  ibrav = 0, nat = 4, ntyp = 3
/
ATOMIC_SPECIES
Fe 55.84 Fe.upf
Pb 207.20 Pb.upf
Y 88.91 Y.upf
ATOMIC_POSITIONS angstrom
Fe 1.694 1.694 3.763
Pb 0.000 0.000 5.330
Pb 0.000 0.000 2.196
Y 1.694 1.694 0.000
CELL_PARAMETERS angstrom
3.388 0.000 0.000
0.000 3.388 0.000
0.000 0.000 7.527
! Formation enthalpy at 0 K   0.05 eV/atom
! DOS(E_F)   2.3 states/eV/f.u.



(7)
! SCAN YFePb, single point on PBEsol structure; values from VASP
&SYSTEM
  ibrav = 0, nat = 3, ntyp = 3
/
ATOMIC_SPECIES
Fe 55.84 Fe.upf
Pb 207.20 Pb.upf
Y 88.91 Y.upf
ATOMIC_POSITIONS angstrom
Fe -2.481 5.063 1.385
Pb -1.240 2.531 0.693
Y 0.000 0.000 0.000
CELL_PARAMETERS angstrom
-0.434 4.560 -1.221
-4.128 2.241 0.636
-0.400 3.324 3.355
! Formation enthalpy at 0 K   -0.06 eV/atom
! DOS(E_F)   2.6 states/eV/f.u.



(8)
! SCAN Y3FePb, single point on PBEsol structure; values from VASP
&SYSTEM
  ibrav = 0, nat = 5, ntyp = 3
/
ATOMIC_SPECIES
Pb 207.20 Pb.upf
Y 88.91 Y.upf
Fe 55.84 Fe.upf
ATOMIC_POSITIONS angstrom
Pb 0.358 2.189 3.769
Y 1.973 -0.116 1.571
Y -0.040 2.514 0.235
Y -1.575 -0.209 1.962
Fe 0.000 0.000 0.000
CELL_PARAMETERS angstrom
-3.150 -0.417 3.925
3.946 -0.232 3.143
-0.080 5.027 0.471
! Formation enthalpy at 0 K   -0.16 eV/atom
! DOS(E_F)   2.9 states/eV/f.u.



(9)
! SCAN ZnFePb2, single point on PBEsol structure; values from VASP
&SYSTEM
  ibrav = 0, nat = 4, ntyp = 3
/
ATOMIC_SPECIES
Fe 55.84 Fe.upf
Pb 207.20 Pb.upf
Zn 65.41 Zn.upf
ATOMIC_POSITIONS angstrom
Fe -1.554 3.429 1.591
Pb 1.203 3.843 2.545
Pb 0.425 1.359 0.900
Zn -2.368 0.828 -0.131
CELL_PARAMETERS angstrom
-1.820 2.060 -2.251
-2.916 -0.404 1.988
1.628 5.203 3.444
! Formation enthalpy at 0 K   0.47 eV/atom
! DOS(E_F)   1.7 states/eV/f.u.



(10)
! SCAN Zn2FePb, single point on PBEsol structure; values from VASP
&SYSTEM
  ibrav = 0, nat = 4, ntyp = 3
/
ATOMIC_SPECIES
Fe 55.84 Fe.upf
Pb 207.20 Pb.upf
Zn 65.41 Zn.upf
ATOMIC_POSITIONS angstrom
Fe -1.068 0.285 1.055
Pb -1.509 -0.940 -1.273
Zn -2.053 -3.112 0.976
Zn 0.397 -1.863 0.905
CELL_PARAMETERS angstrom
-2.135 0.570 2.110
-3.017 -1.880 -2.546
3.496 -3.666 2.318
! Formation enthalpy at 0 K   0.39 eV/atom
! DOS(E_F)   1.9 states/eV/f.u.



(11)
! SCAN ZnFePb2, single point on PBEsol structure; values from VASP
&SYSTEM
  ibrav = 0, nat = 4, ntyp = 3
/
ATOMIC_SPECIES
Fe 55.84 Fe.upf
Pb 207.20 Pb.upf
Zn 65.41 Zn.upf
ATOMIC_POSITIONS angstrom
Fe -1.751 0.205 -2.227
Pb -3.896 -3.625 -0.153
Pb -1.026 -2.670 -1.951
Zn -2.612 -0.993 -0.203
CELL_PARAMETERS angstrom
-3.441 1.669 -0.475
0.417 -0.278 -3.998
-0.545 -5.480 0.325
! Formation enthalpy at 0 K   0.29 eV/atom
! DOS(E_F)   2.0 states/eV/f.u.



(12)
! SCAN ZnFePb2, single point on PBEsol structure; values from VASP
&SYSTEM
  ibrav = 0, nat = 4, ntyp = 3
/
ATOMIC_SPECIES
Fe 55.84 Fe.upf
Pb 207.20 Pb.upf
Zn 65.41 Zn.upf
ATOMIC_POSITIONS angstrom
Fe 1.633 2.447 2.557
Pb 0.000 2.505 0.052
Pb 0.000 -0.058 2.505
Zn 1.633 0.000 0.000
CELL_PARAMETERS angstrom
3.266 0.000 0.000
0.000 5.010 0.104
0.000 -0.117 5.009
! Formation enthalpy at 0 K   0.50 eV/atom
! DOS(E_F)   2.2 states/eV/f.u.



(13)
! SCAN ZnFePb2, single point on PBEsol structure; values from VASP
&SYSTEM
  ibrav = 0, nat = 4, ntyp = 3
/
ATOMIC_SPECIES
Fe 55.84 Fe.upf
Pb 207.20 Pb.upf
Zn 65.41 Zn.upf
ATOMIC_POSITIONS angstrom
Fe 1.348 1.570 0.000
Pb 0.000 0.000 1.892
Pb 0.000 0.000 6.504
Zn 1.348 1.570 4.198
CELL_PARAMETERS angstrom
3.184 -0.006 0.000
-0.489 3.147 0.000
0.000 0.000 8.396
! Formation enthalpy at 0 K   0.46 eV/atom
! DOS(E_F)   1.5 states/eV/f.u.



(14)
! SCAN ZrFe2Pb, single point on PBEsol structure; values from VASP
&SYSTEM
  ibrav = 0, nat = 4, ntyp = 3
/
ATOMIC_SPECIES
Fe 55.84 Fe.upf
Pb 207.20 Pb.upf
Zr 91.22 Zr.upf
ATOMIC_POSITIONS angstrom
Fe -0.127 -0.217 0.189
Fe -2.151 -1.537 0.242
Pb -1.778 -3.004 2.633
Zr 0.060 -3.195 0.274
CELL_PARAMETERS angstrom
-2.613 -0.221 -2.017
2.020 -3.181 -2.267
-1.554 -1.425 4.882
! Formation enthalpy at 0 K   0.07 eV/atom
! DOS(E_F)   2.0 states/eV/f.u.



(15)
! SCAN ZrFe2Pb, single point on PBEsol structure; values from VASP
&SYSTEM
  ibrav = 0, nat = 4, ntyp = 3
/
ATOMIC_SPECIES
Fe 55.84 Fe.upf
Pb 207.20 Pb.upf
Zr 91.22 Zr.upf
ATOMIC_POSITIONS angstrom
Fe -0.471 2.316 3.858
Fe -0.162 0.800 1.331
Pb -1.970 -1.039 0.383
Zr -2.286 0.519 2.978
CELL_PARAMETERS angstrom
-3.051 0.601 -0.733
-0.888 -2.678 1.500
-0.633 3.116 5.189
! Formation enthalpy at 0 K   0.26 eV/atom
! DOS(E_F)   3.2 states/eV/f.u.



(16)
! SCAN Zr2FePb, single point on PBEsol structure; values from VASP
&SYSTEM
  ibrav = 0, nat = 4, ntyp = 3
/
ATOMIC_SPECIES
Fe 55.84 Fe.upf
Pb 207.20 Pb.upf
Zr 91.22 Zr.upf
ATOMIC_POSITIONS angstrom
Fe 4.729 2.730 1.931
Pb 2.364 1.365 0.965
Zr 0.000 0.000 0.000
Zr 7.093 4.095 2.896
CELL_PARAMETERS angstrom
4.729 0.000 0.000
2.364 4.095 0.000
2.364 1.365 3.861
! Formation enthalpy at 0 K   0.28 eV/atom
! DOS(E_F)   5.2 states/eV/f.u.



(17)
! SCAN ZrFePb, single point on PBEsol structure; values from VASP
&SYSTEM
  ibrav = 0, nat = 3, ntyp = 3
/
ATOMIC_SPECIES
Fe 55.84 Fe.upf
Pb 207.20 Pb.upf
Zr 91.22 Zr.upf
ATOMIC_POSITIONS angstrom
Fe 1.582 1.582 5.419
Pb 1.582 1.582 1.623
Zr 0.000 0.000 3.987
CELL_PARAMETERS angstrom
3.165 0.000 0.000
0.000 3.165 0.000
-1.582 -1.582 5.515
! Formation enthalpy at 0 K   0.05 eV/atom
! DOS(E_F)   1.3 states/eV/f.u.



(18)
! SCAN FeRePd2Pt, single point on PBEsol structure; values from VASP
&SYSTEM
  ibrav = 0, nat = 5, ntyp = 4
/
ATOMIC_SPECIES
Re 186.21 Re.upf
Pd 106.42 Pd.upf
Pt 195.08 Pt.upf
Fe 55.84 Fe.upf
ATOMIC_POSITIONS angstrom
Re 0.016 -0.965 3.920
Pd 1.859 0.171 1.488
Pd -0.550 -2.128 0.932
Pt 0.000 0.000 0.000
Fe -1.292 0.991 1.500
CELL_PARAMETERS angstrom
-2.585 1.983 3.000
-1.100 -4.255 1.864
3.717 0.343 2.976
! Formation enthalpy at 0 K   1.82 eV/atom
! DOS(E_F)   5.8 states/eV/f.u.



(19)
! SCAN RbFe3Pd, single point on PBEsol structure; values from VASP
&SYSTEM
  ibrav = 0, nat = 5, ntyp = 3
/
ATOMIC_SPECIES
Rb 85.47 Rb.upf
Pd 106.42 Pd.upf
Fe 55.84 Fe.upf
ATOMIC_POSITIONS angstrom
Rb -0.189 -2.877 -2.986
Pd 0.000 0.000 0.000
Fe 1.870 -0.810 -1.261
Fe -0.777 -2.248 0.292
Fe -1.282 0.181 -2.017
CELL_PARAMETERS angstrom
-2.563 0.363 -4.034
3.740 -1.621 -2.522
-1.555 -4.496 0.584
! Formation enthalpy at 0 K   0.93 eV/atom
! DOS(E_F)   5.4 states/eV/f.u.



(20)
! SCAN FePd3Ru, single point on PBEsol structure; values from VASP
&SYSTEM
  ibrav = 0, nat = 5, ntyp = 3
/
ATOMIC_SPECIES
Ru 101.07 Ru.upf
Fe 55.84 Fe.upf
Pd 106.42 Pd.upf
ATOMIC_POSITIONS angstrom
Ru 2.213 2.213 2.213
Fe 0.000 0.000 0.000
Pd 0.000 2.213 0.000
Pd 0.000 0.000 2.213
Pd 2.213 0.000 0.000
CELL_PARAMETERS angstrom
4.426 0.000 0.000
0.000 4.426 0.000
0.000 0.000 4.426
! Formation enthalpy at 0 K   1.16 eV/atom
! DOS(E_F)   5.2 states/eV/f.u.



(21)
! SCAN ScFeSbPd2, single point on PBEsol structure; values from VASP
&SYSTEM
  ibrav = 0, nat = 5, ntyp = 4
/
ATOMIC_SPECIES
Sc 44.96 Sc.upf
Sb 121.76 Sb.upf
Fe 55.84 Fe.upf
Pd 106.42 Pd.upf
ATOMIC_POSITIONS angstrom
Sc -1.890 3.182 1.528
Sb 1.030 1.870 0.936
Fe 0.000 0.000 0.000
Pd -1.486 -0.061 1.757
Pd -1.434 1.374 -1.165
CELL_PARAMETERS angstrom
-2.868 2.747 -2.331
-2.973 -0.122 3.514
2.060 3.739 1.873
! Uncorrected energy   -26.9644 eV/atom
! DOS(E_F)   2.7 states/eV/f.u.



(22)
! SCAN Sc3FePd, single point on PBEsol structure; values from VASP
&SYSTEM
  ibrav = 0, nat = 5, ntyp = 3
/
ATOMIC_SPECIES
Sc 44.96 Sc.upf
Fe 55.84 Fe.upf
Pd 106.42 Pd.upf
ATOMIC_POSITIONS angstrom
Sc 0.000 2.323 0.000
Sc 0.000 0.000 2.323
Sc 2.323 0.000 0.000
Fe 0.000 0.000 0.000
Pd 2.323 2.323 2.323
CELL_PARAMETERS angstrom
4.646 0.000 0.000
0.000 4.646 0.000
0.000 0.000 4.646
! Formation enthalpy at 0 K   -0.01 eV/atom
! DOS(E_F)   2.6 states/eV/f.u.



(23)
! SCAN FePdSe2, single point on PBEsol structure; values from VASP
&SYSTEM
  ibrav = 0, nat = 4, ntyp = 3
/
ATOMIC_SPECIES
Se 78.96 Se.upf
Pd 106.42 Pd.upf
Fe 55.84 Fe.upf
ATOMIC_POSITIONS angstrom
Se 4.842 2.796 2.385
Se 1.614 0.932 5.257
Pd 0.000 0.000 0.000
Fe 3.228 1.864 3.821
CELL_PARAMETERS angstrom
3.228 0.000 0.000
1.614 2.796 0.000
1.614 0.932 7.642
! Uncorrected energy   -22.8548 eV/atom
! DOS(E_F)   2.6 states/eV/f.u.



(24)
! SCAN FePd2Se2, single point on PBEsol structure; values from VASP
&SYSTEM
  ibrav = 0, nat = 10, ntyp = 3
/
ATOMIC_SPECIES
Se 78.96 Se.upf
Pd 106.42 Pd.upf
Fe 55.84 Fe.upf
ATOMIC_POSITIONS angstrom
Se 2.500 1.737 1.509
Se 0.000 1.187 3.708
Se 0.000 4.112 1.509
Se 2.500 -1.187 3.708
Pd 2.500 2.216 4.059
Pd 0.000 0.708 1.158
Pd 2.500 5.140 1.158
Pd 0.000 -2.216 4.059
Fe 3.749 2.924 0.000
Fe 1.250 2.924 0.000
CELL_PARAMETERS angstrom
4.999 0.000 0.000
0.000 5.848 0.000
-2.500 -2.924 5.217
! Uncorrected energy   -24.9982 eV/atom
! DOS(E_F)   2.5 states/eV/f.u.



(25)
! SCAN FeSiPd3, single point on PBEsol structure; values from VASP
&SYSTEM
  ibrav = 0, nat = 5, ntyp = 3
/
ATOMIC_SPECIES
Si 28.09 Si.upf
Fe 55.84 Fe.upf
Pd 106.42 Pd.upf
ATOMIC_POSITIONS angstrom
Si 0.000 0.000 0.000
Fe -3.268 0.964 1.707
Pd -0.718 -0.807 1.916
Pd -0.541 2.030 0.652
Pd -2.008 -0.259 -0.862
CELL_PARAMETERS angstrom
-4.016 -0.517 -1.723
-1.437 -1.615 3.833
-1.083 4.060 1.305
! Uncorrected energy   -25.0651 eV/atom
! DOS(E_F)   5.6 states/eV/f.u.



(26)
! SCAN FeSi2Pd, single point on PBEsol structure; values from VASP
&SYSTEM
  ibrav = 0, nat = 8, ntyp = 3
/
ATOMIC_SPECIES
Si 28.09 Si.upf
Fe 55.84 Fe.upf
Pd 106.42 Pd.upf
ATOMIC_POSITIONS angstrom
Si 2.808 -2.185 0.505
Si 0.697 -3.010 1.605
Si 2.523 0.751 5.406
Si 3.161 -1.622 4.851
Fe 1.203 -2.026 3.655
Fe 0.805 -2.453 -0.654
Pd 3.391 -1.007 2.529
Pd 0.000 0.000 0.000
CELL_PARAMETERS angstrom
-1.383 -3.471 0.472
2.993 -1.434 -1.780
2.984 1.872 7.492
! Uncorrected energy   -17.7850 eV/atom
! DOS(E_F)   2.2 states/eV/f.u.



(27)
! SCAN FeSn2PdW, single point on PBEsol structure; values from VASP
&SYSTEM
  ibrav = 0, nat = 5, ntyp = 4
/
ATOMIC_SPECIES
Pd 106.42 Pd.upf
Sn 118.71 Sn.upf
W 183.84 W.upf
Fe 55.84 Fe.upf
ATOMIC_POSITIONS angstrom
Pd 2.290 0.000 0.000
Sn 0.000 0.000 2.341
Sn 0.000 2.341 0.000
W 2.290 2.341 2.341
Fe 0.000 0.000 0.000
CELL_PARAMETERS angstrom
4.580 0.000 0.000
0.000 4.682 0.000
0.000 0.000 4.682
! Formation enthalpy at 0 K   1.29 eV/atom
! DOS(E_F)   2.9 states/eV/f.u.



(28)
! SCAN Sr3FePd, single point on PBEsol structure; values from VASP
&SYSTEM
  ibrav = 0, nat = 5, ntyp = 3
/
ATOMIC_SPECIES
Sr 87.62 Sr.upf
Fe 55.84 Fe.upf
Pd 106.42 Pd.upf
ATOMIC_POSITIONS angstrom
Sr 0.000 2.864 0.000
Sr 0.000 0.000 2.864
Sr 2.864 0.000 0.000
Fe 2.864 2.864 2.864
Pd 0.000 0.000 0.000
CELL_PARAMETERS angstrom
5.727 0.000 0.000
0.000 5.727 0.000
0.000 0.000 5.727
! Formation enthalpy at 0 K   0.29 eV/atom
! DOS(E_F)   10.4 states/eV/f.u.



(29)
! SCAN TaFePd3, single point on PBEsol structure; values from VASP
&SYSTEM
  ibrav = 0, nat = 5, ntyp = 3
/
ATOMIC_SPECIES
Fe 55.84 Fe.upf
Pd 106.42 Pd.upf
Ta 180.95 Ta.upf
ATOMIC_POSITIONS angstrom
Fe 2.356 2.356 2.356
Pd 0.000 2.356 0.000
Pd 0.000 0.000 2.356
Pd 2.356 0.000 0.000
Ta 0.000 0.000 0.000
CELL_PARAMETERS angstrom
4.713 0.000 0.000
0.000 4.713 0.000
0.000 0.000 4.713
! Formation enthalpy at 0 K   1.21 eV/atom
! DOS(E_F)   6.3 states/eV/f.u.



(30)
! SCAN Y2TaFePd, single point on PBEsol structure; values from VASP
&SYSTEM
  ibrav = 0, nat = 5, ntyp = 4
/
ATOMIC_SPECIES
Y 88.91 Y.upf
Fe 55.84 Fe.upf
Pd 106.42 Pd.upf
Ta 180.95 Ta.upf
ATOMIC_POSITIONS angstrom
Y 2.090 1.107 0.899
Y 1.042 -2.274 0.379
Fe 0.000 0.000 0.000
Pd 2.284 -1.217 3.310
Ta -0.848 -0.049 2.032
CELL_PARAMETERS angstrom
-1.696 -0.099 4.064
2.084 -4.549 0.759
4.180 2.214 1.798
! Formation enthalpy at 0 K   0.33 eV/atom
! DOS(E_F)   4.2 states/eV/f.u.